Here is In3Sn3Hg after structural relaxation from Alexandria via LeMat-Bulk. Energies are from PBE.

Energy relative to the elements in eV per atom: 0.038
DOS at the Fermi energy in states/eV/f.u.: 3.5
Symmetry: P6_3/m, No. 176
Energy in eV per formula unit: -20.26
Energy relative to the lowest polymorph listed for this composition in eV/atom: 0.000

a b c (Å): 5.540 8.911 8.911
angles (deg): 120.00 90.00 90.00
Element x y z (fractional)
Sn (0.250, 0.239, 0.047)
Sn (0.750, 0.192, 0.239)
Sn (0.250, 0.808, 0.761)
Sn (0.750, 0.761, 0.953)
Sn (0.750, 0.047, 0.808)
Sn (0.250, 0.953, 0.192)
In (0.750, 0.907, 0.383)
In (0.250, 0.383, 0.476)
In (0.750, 0.617, 0.524)
In (0.750, 0.476, 0.093)
In (0.250, 0.524, 0.907)
In (0.250, 0.093, 0.617)
Hg (0.750, 0.333, 0.667)
Hg (0.250, 0.667, 0.333)

***

Here is In3Sn4Hg2 after structural relaxation from Alexandria via LeMat-Bulk. Energies are from PBE.

Energy relative to the elements in eV per atom: 0.038
DOS at the Fermi energy in states/eV/f.u.: 3.2
Symmetry: P3m1, No. 156
Energy in eV per formula unit: -24.49
Energy relative to the lowest polymorph listed for this composition in eV/atom: 0.000

a b c (Å): 3.435 3.435 23.992
angles (deg): 90.00 90.00 120.00
Element x y z (fractional)
Sn (0.000, 0.000, 0.544)
Sn (0.667, 0.333, 0.210)
Sn (0.667, 0.333, 0.435)
Sn (0.000, 0.000, 0.767)
In (0.000, 0.000, 0.320)
In (0.667, 0.333, 0.658)
In (0.000, 0.000, 0.981)
Hg (0.667, 0.333, 0.087)
Hg (0.667, 0.333, 0.875)

***

Here is InSnHg after structural relaxation from Alexandria via LeMat-Bulk. Energies are from PBE.

Energy relative to the elements in eV per atom: 0.041
DOS at the Fermi energy in states/eV/f.u.: 1.1
Symmetry: P3m1, No. 156
Energy in eV per formula unit: -6.92
Energy relative to the lowest polymorph listed for this composition in eV/atom: 0.014

a b c (Å): 3.428 3.428 7.874
angles (deg): 90.00 90.00 120.00
Element x y z (fractional)
Hg (0.000, 0.000, 0.002)
In (0.667, 0.333, 0.327)
Sn (0.333, 0.667, 0.671)

***

Here is In12Sn2Hg5 after structural relaxation from Alexandria via LeMat-Bulk. Energies are from PBE.

Energy relative to the elements in eV per atom: 0.045
DOS at the Fermi energy in states/eV/f.u.: 7.1
Symmetry: C2/m, No. 12
Energy in eV per formula unit: -41.52
Energy relative to the lowest polymorph listed for this composition in eV/atom: 0.011

a b c (Å): 8.082 8.169 9.451
angles (deg): 72.17 115.31 90.00
Element x y z (fractional)
In (0.100, 0.189, 0.622)
In (0.510, 0.218, 0.019)
In (0.900, 0.811, 0.378)
In (0.594, 0.526, 0.775)
In (0.181, 0.526, 0.775)
In (0.128, 0.137, 0.256)
In (0.406, 0.474, 0.225)
In (0.523, 0.189, 0.622)
In (0.477, 0.811, 0.378)
In (0.872, 0.863, 0.744)
In (0.819, 0.474, 0.225)
In (0.490, 0.782, 0.981)
Hg (0.786, 0.464, 0.571)
Hg (0.000, 0.500, 0.000)
Hg (0.305, 0.873, 0.609)
Hg (0.214, 0.536, 0.429)
Hg (0.695, 0.127, 0.391)
Sn (0.197, 0.000, 0.000)
Sn (0.803, 0.000, 0.000)

***

Here is In8Sn3Hg8 after structural relaxation from Alexandria via LeMat-Bulk. Energies are from PBE.

Energy relative to the elements in eV per atom: 0.039
DOS at the Fermi energy in states/eV/f.u.: 5.7
Symmetry: P-1, No. 2
Energy in eV per formula unit: -35.59

a b c (Å): 6.179 13.044 11.112
angles (deg): 125.84 129.84 52.87
Element x y z (fractional)
In (0.508, 0.434, 0.672)
In (0.304, 0.885, 0.401)
In (0.696, 0.115, 0.599)
In (0.492, 0.566, 0.328)
In (0.638, 0.026, 0.832)
In (0.993, 0.213, 0.000)
In (0.007, 0.787, 0.000)
In (0.362, 0.974, 0.168)
Sn (0.500, 0.500, 0.000)
Sn (0.044, 0.279, 0.352)
Sn (0.956, 0.721, 0.648)
Hg (0.725, 0.665, 0.009)
Hg (0.877, 0.512, 0.668)
Hg (0.311, 0.892, 0.794)
Hg (0.923, 0.803, 0.406)
Hg (0.275, 0.335, 0.991)
Hg (0.077, 0.197, 0.594)
Hg (0.123, 0.488, 0.332)
Hg (0.689, 0.108, 0.206)

***

Here is In6SnHg2 after structural relaxation from Alexandria via LeMat-Bulk. Energies are from PBE.

Energy relative to the elements in eV per atom: 0.030
DOS at the Fermi energy in states/eV/f.u.: 4.4
Symmetry: C2/m, No. 12
Energy in eV per formula unit: -20.77
Energy relative to the lowest polymorph listed for this composition in eV/atom: 0.012

a b c (Å): 5.305 8.199 6.304
angles (deg): 100.33 114.88 90.00
Element x y z (fractional)
In (0.608, 0.171, 0.216)
In (0.392, 0.829, 0.784)
In (0.162, 0.494, 0.324)
In (0.286, 0.166, 0.572)
In (0.714, 0.834, 0.428)
In (0.838, 0.506, 0.676)
Sn (0.500, 0.500, 0.000)
Hg (0.941, 0.161, 0.883)
Hg (0.059, 0.839, 0.117)

***

Here is InSn2Hg5 after structural relaxation from Alexandria via LeMat-Bulk. Energies are from PBE.

Energy relative to the elements in eV per atom: 0.055
DOS at the Fermi energy in states/eV/f.u.: 2.7
Symmetry: I4/mmm, No. 139
Energy in eV per formula unit: -11.81

a b c (Å): 4.444 4.444 11.174
angles (deg): 101.47 101.47 90.00
Element x y z (fractional)
Hg (0.500, 0.500, 0.000)
Hg (0.376, 0.876, 0.752)
Hg (0.624, 0.124, 0.248)
Hg (0.124, 0.624, 0.248)
Hg (0.876, 0.376, 0.752)
In (0.000, 0.000, 0.000)
Sn (0.262, 0.262, 0.523)
Sn (0.738, 0.738, 0.477)

***

Here is In8SnHg6 after structural relaxation from Alexandria via LeMat-Bulk. Energies are from PBE.

Energy relative to the elements in eV per atom: 0.040
DOS at the Fermi energy in states/eV/f.u.: 5.2
Symmetry: P-3, No. 147
Energy in eV per formula unit: -27.13
Energy relative to the lowest polymorph listed for this composition in eV/atom: 0.012

a b c (Å): 3.614 11.449 11.449
angles (deg): 120.00 90.00 90.00
Element x y z (fractional)
Hg (0.266, 0.478, 0.381)
Hg (0.734, 0.381, 0.902)
Hg (0.734, 0.098, 0.478)
Hg (0.266, 0.619, 0.098)
Hg (0.734, 0.522, 0.619)
Hg (0.266, 0.902, 0.522)
In (0.224, 0.924, 0.219)
In (0.776, 0.219, 0.295)
In (0.224, 0.295, 0.076)
In (0.224, 0.781, 0.705)
In (0.776, 0.076, 0.781)
In (0.776, 0.705, 0.924)
In (0.765, 0.667, 0.333)
In (0.235, 0.333, 0.667)
Sn (0.500, 0.000, 0.000)

***

Here is In2SnHg after structural relaxation from Alexandria via LeMat-Bulk. Energies are from PBE.

Energy relative to the elements in eV per atom: 0.064
DOS at the Fermi energy in states/eV/f.u.: 2.3
Symmetry: Immm, No. 71
Energy in eV per formula unit: -9.53

a b c (Å): 6.956 6.956 6.956
angles (deg): 54.21 152.60 134.18
Element x y z (fractional)
In (0.000, 0.246, 0.246)
In (0.000, 0.754, 0.754)
Sn (0.000, 0.000, 0.000)
Hg (0.000, 0.500, 0.500)

***

Here is In10Sn3Hg3 after structural relaxation from Alexandria via LeMat-Bulk. Energies are from PBE.

Energy relative to the elements in eV per atom: 0.039
DOS at the Fermi energy in states/eV/f.u.: 7.3
Symmetry: P1, No. 1
Energy in eV per formula unit: -39.67

a b c (Å): 6.678 9.142 8.161
angles (deg): 115.54 80.32 87.33
Element x y z (fractional)
In (0.991, 0.248, 0.980)
In (0.673, 0.543, 0.289)
In (0.061, 0.727, 0.405)
In (0.128, 0.982, 0.207)
In (0.666, 0.153, 0.261)
In (0.249, 0.251, 0.611)
In (0.441, 0.021, 0.877)
In (0.841, 0.466, 0.602)
In (0.928, 0.878, 0.834)
In (0.574, 0.748, 0.031)
Sn (0.806, 0.098, 0.596)
Sn (0.054, 0.601, 0.977)
Sn (0.263, 0.357, 0.284)
Hg (0.453, 0.895, 0.455)
Hg (0.503, 0.392, 0.923)
Hg (0.370, 0.641, 0.671)

***

Here is In5SnHg4 after structural relaxation from Alexandria via LeMat-Bulk. Energies are from PBE.

Energy relative to the elements in eV per atom: 0.010
DOS at the Fermi energy in states/eV/f.u.: 3.3
Symmetry: P4/mmm, No. 123
Energy in eV per formula unit: -18.80

a b c (Å): 3.912 3.912 17.363
angles (deg): 90.00 90.00 90.00
Element x y z (fractional)
Hg (0.000, 0.000, 0.401)
Hg (0.000, 0.000, 0.599)
Hg (0.000, 0.000, 0.202)
Hg (0.000, 0.000, 0.798)
In (0.500, 0.500, 0.701)
In (0.500, 0.500, 0.898)
In (0.500, 0.500, 0.500)
In (0.500, 0.500, 0.299)
In (0.500, 0.500, 0.102)
Sn (0.000, 0.000, 0.000)

***

Here is In8SnHg6 after structural relaxation from Alexandria via LeMat-Bulk. Energies are from PBE.

Energy relative to the elements in eV per atom: 0.028
DOS at the Fermi energy in states/eV/f.u.: 5.2
Symmetry: P-1, No. 2
Energy in eV per formula unit: -27.30
Energy relative to the lowest polymorph listed for this composition in eV/atom: 0.000

a b c (Å): 8.266 7.236 7.331
angles (deg): 81.36 83.23 75.94
Element x y z (fractional)
In (0.677, 0.128, 0.730)
In (0.628, 0.621, 0.522)
In (0.889, 0.317, 0.283)
In (0.111, 0.683, 0.717)
In (0.279, 0.253, 0.927)
In (0.721, 0.747, 0.073)
In (0.372, 0.379, 0.478)
In (0.323, 0.872, 0.270)
Hg (0.579, 0.195, 0.164)
Hg (0.862, 0.886, 0.429)
Hg (0.421, 0.805, 0.836)
Hg (0.138, 0.114, 0.571)
Hg (0.143, 0.570, 0.179)
Hg (0.857, 0.430, 0.821)
Sn (0.000, 0.000, 0.000)